Entry 1:
! NpGaPt6, relaxed, DFT GGA-PBE; values from VASP
&SYSTEM
  ibrav = 0, nat = 8, ntyp = 3
/
ATOMIC_SPECIES
Np 237.00 Np.upf
Ga 69.72 Ga.upf
Pt 195.08 Pt.upf
CELL_PARAMETERS angstrom
4.075 0.000 0.000
0.000 5.729 -0.021
0.000 0.052 5.728
ATOMIC_POSITIONS crystal
Np 0.500 0.000 0.000
Ga 0.500 0.500 0.500
Pt 0.000 0.745 0.255
Pt 0.000 0.255 0.745
Pt 0.000 0.748 0.748
Pt 0.000 0.252 0.252
Pt 0.500 0.500 0.000
Pt 0.500 0.000 0.500
! V   16.7 A^3/atom
! Calculated formation energy   -0.503 eV/atom
! SG   Cmmm (65)

---

Entry 2:
! Np2Ga8Pt, relaxed, DFT GGA-PBE; values from VASP
&SYSTEM
  ibrav = 0, nat = 11, ntyp = 3
/
ATOMIC_SPECIES
Np 237.00 Np.upf
Ga 69.72 Ga.upf
Pt 195.08 Pt.upf
CELL_PARAMETERS angstrom
4.314 0.000 0.000
0.000 4.314 0.000
0.000 0.000 11.203
ATOMIC_POSITIONS crystal
Np 0.000 0.000 0.310
Np 0.000 0.000 0.690
Ga 0.000 0.500 0.500
Ga 0.500 0.000 0.500
Ga 0.500 0.500 0.309
Ga 0.500 0.500 0.691
Ga 0.000 0.500 0.128
Ga 0.500 0.000 0.128
Ga 0.000 0.500 0.872
Ga 0.500 0.000 0.872
Pt 0.000 0.000 0.000
! V   19.0 A^3/atom
! Calculated formation energy   -0.344 eV/atom
! SG   P4/mmm (123)

---

Entry 3:
! Np2GaPt9, relaxed, DFT GGA-PBE; values from VASP
&SYSTEM
  ibrav = 0, nat = 12, ntyp = 3
/
ATOMIC_SPECIES
Np 237.00 Np.upf
Ga 69.72 Ga.upf
Pt 195.08 Pt.upf
CELL_PARAMETERS angstrom
-2.656 -1.757 -2.589
0.640 -3.629 1.807
-9.089 2.273 7.783
ATOMIC_POSITIONS crystal
Np 0.000 0.000 0.327
Np 0.000 0.000 0.673
Ga 0.000 0.000 0.000
Pt 0.500 0.500 0.000
Pt 0.500 0.500 0.326
Pt 0.500 0.500 0.674
Pt 0.500 0.000 0.157
Pt 0.500 0.000 0.500
Pt 0.500 0.000 0.843
Pt 0.000 0.500 0.157
Pt 0.000 0.500 0.500
Pt 0.000 0.500 0.843
! V   17.1 A^3/atom
! Calculated formation energy   -0.545 eV/atom
! SG   P4/mmm (123)